# Na2In3Pb4 (PBE, optimized geometry)
data_Na2In3Pb4
_cell_length_a 4.872
_cell_length_b 5.913
_cell_length_c 10.388
_cell_angle_alpha 73.34
_cell_angle_beta 76.44
_cell_angle_gamma 65.67
_symmetry_space_group_name_H-M 'P 1'
_symmetry_Int_Tables_number 1
loop_
_symmetry_equiv_pos_as_xyz
'x,y,z'
loop_
_atom_site_label
_atom_site_type_symbol
_atom_site_fract_x
_atom_site_fract_y
_atom_site_fract_z
In1 In 0.336 0.771 0.558
In2 In 0.664 0.229 0.442
Na1 Na 0.333 0.111 0.223
In3 In 0.000 0.000 0.000
Pb1 Pb 0.994 0.676 0.336
Pb2 Pb 0.666 0.554 0.113
Pb3 Pb 0.334 0.446 0.887
Pb4 Pb 0.006 0.324 0.664
Na2 Na 0.667 0.889 0.777
# DOS at the Fermi energy	3.79	states/eV/f.u.
# space group	C2/m
# calculated volume	259	Å³/f.u.
# final energy	-2.93	eV/atom
# calculated formation energy	-0.713	eV/f.u.